# 1
Below is a relaxed structure of TbErW, with properties calculated at the PBE-GGA level.

Geometry as POSCAR:
```
TbErW
1.0
3.338 0.000 0.000
0.000 3.338 0.000
0.000 0.000 13.608
Er Tb W
2 2 2
Direct
0.000 0.500 0.592
0.500 0.000 0.408
0.500 0.000 0.802
0.000 0.500 0.198
0.000 0.500 0.952
0.500 0.000 0.048
```

- ρ: 11.2 g cm⁻³
- Symmetry: P4/nmm, No. 129
- Magnetization: 0.0 μB/cell
- Formation energy: 210.2 meV/atom

---

# 2
Below is a relaxed structure of Tb5YEr5, with properties calculated at the PBE-GGA level.

Geometry as POSCAR:
```
Tb5YEr5
1.0
-3.480 5.939 0.892
-1.346 -7.409 5.690
2.705 6.737 3.645
Tb Y Er
5 1 5
Direct
0.853 0.641 0.157
0.748 0.654 0.675
0.500 0.000 0.000
0.252 0.346 0.325
0.147 0.359 0.843
0.000 0.000 0.000
0.677 0.280 0.354
0.662 0.314 0.791
0.000 0.000 0.500
0.338 0.686 0.209
0.323 0.720 0.646
```

- Excess energy over the best structure of this formula in the dataset: 0.0 meV/atom
- ρ: 8.0 g cm⁻³
- Symmetry: P-1, No. 2
- Magnetization: 0.0 μB/cell
- Formation energy: 148.8 meV/atom

---

# 3
Below is a relaxed structure of Tb3Y2Er5, with properties calculated at the PBE-GGA level.

Geometry as POSCAR:
```
Tb3Y2Er5
1.0
-2.065 8.420 -3.853
1.845 -6.527 -6.598
-7.412 -2.879 5.033
Tb Y Er
6 4 10
Direct
0.270 0.020 0.040
0.730 0.980 0.960
0.521 0.472 0.250
0.479 0.528 0.750
0.230 0.778 0.250
0.770 0.222 0.750
0.968 0.016 0.742
0.032 0.984 0.258
0.274 0.727 0.742
0.726 0.273 0.258
0.228 0.478 0.956
0.772 0.522 0.044
0.973 0.723 0.445
0.477 0.227 0.454
0.027 0.277 0.555
0.523 0.773 0.546
0.879 0.610 0.739
0.121 0.390 0.261
0.360 0.129 0.739
0.640 0.871 0.261
```

- Excess energy over the best structure of this formula in the dataset: 0.0 meV/atom
- ρ: 7.6 g cm⁻³
- Symmetry: C2/c, No. 15
- Magnetization: 0.0 μB/cell
- Formation energy: 203.7 meV/atom

---

# 4
Below is a relaxed structure of Tb4Y2Er5, with properties calculated at the PBE-GGA level.

Geometry as POSCAR:
```
Tb4Y2Er5
1.0
3.602 -0.539 -0.040
-2.399 8.865 -3.576
1.616 -2.405 12.295
Tb Y Er
4 2 5
Direct
0.756 0.428 0.344
0.324 0.351 0.054
0.244 0.572 0.656
0.676 0.649 0.946
0.889 0.275 0.771
0.111 0.725 0.229
0.926 0.044 0.236
0.074 0.956 0.764
0.580 0.830 0.500
0.500 0.000 0.000
0.420 0.170 0.500
```

- Excess energy over the best structure of this formula in the dataset: 0.0 meV/atom
- ρ: 7.8 g cm⁻³
- Symmetry: C2/m, No. 12
- Magnetization: 0.0 μB/cell
- Formation energy: 59.4 meV/atom